Entry 1:
{
  "formula": "Hf3Al",
  "functional": "GGA-PBE",
  "state": "optimized geometry",
  "total_energy_ev_per_fu": -34.17,
  "spacegroup": "Pmm2 (25)",
  "dos_ef_per_ev_atom": 0.84,
  "delta_e_f_ev_per_atom": -0.14,
  "cell": [[3.134, 0.000, 0.000], [0.000, 4.978, 0.000], [0.000, 0.000, 5.338]],
  "species": ["Hf", "Hf", "Hf", "Al"],
  "fractional_positions": [[0.000, 0.000, 0.000], [0.000, 0.500, 0.360], [0.500, 0.000, 0.511], [0.500, 0.500, 0.852]]
}


Entry 2:
{
  "formula": "KRbTiIr2",
  "functional": "GGA-PBE",
  "state": "optimized geometry",
  "total_energy_ev_per_fu": -15.48,
  "spacegroup": "P4/mmm (123)",
  "dos_ef_per_ev_atom": 0.98,
  "delta_e_f_ev_per_atom": 2.44,
  "cell": [[5.151, 0.000, 0.000], [0.000, 5.151, 0.000], [0.000, 0.000, 5.047]],
  "species": ["K", "Rb", "Ti", "Ir", "Ir"],
  "fractional_positions": [[0.000, 0.000, 0.000], [0.500, 0.500, 0.500], [0.500, 0.500, 0.000], [0.000, 0.500, 0.500], [0.500, 0.000, 0.500]]
}


What did the first record say?
{
  "formula": "Hf3Al",
  "functional": "GGA-PBE",
  "state": "optimized geometry",
  "total_energy_ev_per_fu": -34.17,
  "spacegroup": "Pmm2 (25)",
  "dos_ef_per_ev_atom": 0.84,
  "delta_e_f_ev_per_atom": -0.14,
  "cell": [[3.134, 0.000, 0.000], [0.000, 4.978, 0.000], [0.000, 0.000, 5.338]],
  "species": ["Hf", "Hf", "Hf", "Al"],
  "fractional_positions": [[0.000, 0.000, 0.000], [0.000, 0.500, 0.360], [0.500, 0.000, 0.511], [0.500, 0.500, 0.852]]
}